Run a
Compound: LiSm2Cd2
Source: Alexandria via LeMat-Bulk
Functional: PBE
Structure: optimized geometry

Properties
Mass density (g/cm3): 6.57

abc: 7.9462 7.9462 7.9462
angles: 126.49 70.88 137.14
With the nearest neighbours (Å) after each atom.
Element x y z (fractional)
Li (0.2500, 0.2500, 0.0000)  4 Cd 2.77, 2 Li 2.90
Li (0.7500, 0.7500, 0.0000)  4 Cd 2.77, 2 Li 2.90
Sm (0.1844, 0.6989, 0.8833)  5 Cd 3.19-3.30, 2 Sm 3.44, 2 Li 3.53
Sm (0.3156, 0.1989, 0.5146)  5 Cd 3.19-3.30, 2 Sm 3.44, 2 Li 3.53
Sm (0.6844, 0.8011, 0.4854)  5 Cd 3.19-3.30, 2 Sm 3.44, 2 Li 3.53
Sm (0.8156, 0.3011, 0.1167)  5 Cd 3.19-3.30, 2 Sm 3.44, 2 Li 3.53
Cd (0.0704, 0.3034, 0.3738)  2 Li 2.77
Cd (0.4296, 0.8034, 0.2330)  2 Li 2.77
Cd (0.5704, 0.1966, 0.7670)  2 Li 2.77
Cd (0.9296, 0.6966, 0.6262)  2 Li 2.77

=====

Run b
Compound: LiSm2Cd2
Source: Alexandria via LeMat-Bulk
Functional: PBE
Structure: optimized geometry

Properties
Mass density (g/cm3): 6.98

abc: 7.2303 7.2303 6.0586
angles: 98.30 98.30 54.12
With the nearest neighbours (Å) after each atom.
Element x y z (fractional)
Li (0.0215, 0.9785, 0.7500)  4 Cd 2.64-2.78
Li (0.9785, 0.0215, 0.2500)  4 Cd 2.64-2.78
Sm (0.2370, 0.5178, 0.4311)  2 Li 3.19-3.25, 6 Cd 3.28-3.54, 2 Sm 3.55
Sm (0.4822, 0.7630, 0.0689)  2 Li 3.19-3.25, 6 Cd 3.28-3.54, 2 Sm 3.55
Sm (0.5178, 0.2370, 0.9311)  2 Li 3.19-3.25, 6 Cd 3.28-3.54, 2 Sm 3.55
Sm (0.7630, 0.4822, 0.5689)  2 Li 3.19-3.25, 6 Cd 3.28-3.54, 2 Sm 3.55
Cd (0.0204, 0.3007, 0.0615)  2 Li 2.64-2.78, 1 Cd 2.92
Cd (0.3007, 0.0204, 0.5615)  2 Li 2.64-2.78, 1 Cd 2.92
Cd (0.6993, 0.9796, 0.4385)  2 Li 2.64-2.78, 1 Cd 2.92
Cd (0.9796, 0.6993, 0.9385)  2 Li 2.64-2.78, 1 Cd 2.92

=====

Which one is the most stable? From the structures above, run b.